A plane-wave DFT calculation with SCAN was carried out for a crystal of Zn2IN relaxed with PBEsol.

Cell: 5.6237 6.2456 5.6237 Å, 116.76 90.00 116.76°
Fractional positions:
I  0.2500  0.5000  0.7500
I  0.0000  0.0000  0.0000
Zn  0.5389  0.2500  0.3750
Zn  0.7111  0.2500  0.8750
Zn  0.1250  0.7500  0.4611
Zn  0.6250  0.7500  0.2889
N  0.7500  0.5000  0.2500
N  0.5000  0.0000  0.5000

Values from the calculation:
Crystal system   tetragonal
Symmetry   I-42d
Energy   -18.537 eV per atom

***

A plane-wave DFT calculation with SCAN was carried out for a crystal of Ce2HfSe5 relaxed with PBEsol.

Cell: 7.5056 8.3786 11.5637 Å, 90.00 90.00 90.00°
Last column: magnetic moment on the atom in μB.
Fractional positions:
Ce  0.4351  0.4995  0.6711  0.94
Ce  0.9351  0.5005  0.8289  0.94
Ce  0.0649  0.0005  0.1711  0.94
Ce  0.5649  0.9995  0.3289  0.94
Ce  0.5649  0.5005  0.3289  0.94
Ce  0.0649  0.4995  0.1711  0.94
Ce  0.9351  0.9995  0.8289  0.94
Ce  0.4351  0.0005  0.6711  0.94
Hf  0.9244  0.7500  0.5102  0.01
Hf  0.4244  0.2500  0.9898  0.01
Hf  0.5756  0.7500  0.0102  0.01
Hf  0.0756  0.2500  0.4898  0.01
Se  0.6575  0.7500  0.7869  -0.02
Se  0.1575  0.2500  0.7131  -0.02
Se  0.8425  0.7500  0.2869  -0.02
Se  0.3425  0.2500  0.2131  -0.02
Se  0.9472  0.7500  0.0052  -0.02
Se  0.4472  0.2500  0.4948  -0.02
Se  0.5528  0.7500  0.5052  -0.02
Se  0.0528  0.2500  0.9948  -0.02
Se  0.1416  0.7500  0.6959  -0.02
Se  0.6416  0.2500  0.8041  -0.02
Se  0.3584  0.7500  0.1959  -0.02
Se  0.8584  0.2500  0.3041  -0.02
Se  0.3167  0.5390  0.9284  -0.02
Se  0.8167  0.4610  0.5716  -0.02
Se  0.1833  0.9610  0.4284  -0.02
Se  0.6833  0.0390  0.0716  -0.02
Se  0.6833  0.4610  0.0716  -0.02
Se  0.1833  0.5390  0.4284  -0.02
Se  0.8167  0.0390  0.5716  -0.02
Se  0.3167  0.9610  0.9284  -0.02

Values from the calculation:
Crystal system   orthorhombic
Symmetry   Pnma
Energy   -33.390 eV per atom

***

A plane-wave DFT calculation with SCAN was carried out for a crystal of KY2Ir relaxed with PBEsol.

Cell: 3.5801 3.7985 10.5514 Å, 100.37 99.77 90.00°
Fractional positions:
Ir  0.5468  0.5468  0.0936
K  0.8150  0.3150  0.6301
Y  0.9939  0.9939  0.9878
Y  0.1443  0.6443  0.2885

Values from the calculation:
ΔE_f   -0.250 eV/atom
Polymorph energy (0 for the lowest one)   164.5 meV per atom
Crystal system   orthorhombic
Symmetry   Imm2
Energy   -34.028 eV per atom

***

A plane-wave DFT calculation with SCAN was carried out for a crystal of Cu3BiC relaxed with PBEsol.

Cell: 4.0793 4.0793 4.0793 Å, 90.00 90.00 90.00°
Fractional positions:
C  0.0000  0.0000  0.0000
Bi  0.5000  0.5000  0.5000
Cu  0.0000  0.5000  0.0000
Cu  0.0000  0.0000  0.5000
Cu  0.5000  0.0000  0.0000

Values from the calculation:
ΔE_f   0.671 eV/atom
Crystal system   cubic
Symmetry   Pm-3m
Energy   -26.185 eV per atom

***

A plane-wave DFT calculation with SCAN was carried out for a crystal of MnAs2PbS relaxed with PBEsol.

Cell: 4.3870 4.3870 5.2773 Å, 90.00 90.00 90.00°
Fractional positions:
Pb  0.0000  0.0000  0.5000
As  0.0000  0.5000  0.0000
As  0.5000  0.0000  0.0000
Mn  0.0000  0.0000  0.0000
S  0.5000  0.5000  0.5000

Values from the calculation:
Crystal system   tetragonal
Symmetry   P4/mmm
Energy   -28.618 eV per atom

***

A plane-wave DFT calculation with SCAN was carried out for a crystal of BaZrIn relaxed with PBEsol.

Cell: 5.2251 5.2251 5.2251 Å, 60.00 60.00 60.00°
Last column: magnetic moment on the atom in μB.
Fractional positions:
Ba  0.2500  0.2500  0.2500  0.10
In  0.0000  0.0000  0.0000  -0.06
Zr  0.5000  0.5000  0.5000  0.65

Values from the calculation:
ΔE_f   1.085 eV/atom
Polymorph energy (0 for the lowest one)   578.8 meV per atom
Crystal system   cubic
Symmetry   F-43m
Energy   -33.460 eV per atom